3
Lattice="-0.759 3.020 2.679 -0.660 -2.782 2.950 5.603 0.161 1.406" Properties=species:S:1:pos:R:3 comment="PBE CaNdPt, relaxed" magnetic_moment_mub_per_atom=0.00 ef_ev_per_atom=-0.753 sg=P4/mmm de_polymorph_ev_per_fu=0.00 pbc="T T T"
Ca 2.092 0.200 3.517
Nd 0.000 0.000 0.000
Pt -0.709 0.119 2.814